Entry 1:
Entry from Alexandria via LeMat-Bulk: a relaxed Sb3RuAu crystal (PBE).

Cell and atoms, written as POSCAR:
```
Sb3RuAu
1.0
5.2997 0.0000 0.0000
0.0000 5.2997 0.0000
0.0000 0.0000 5.2997
Sb Au Ru
3 1 1
Cartesian
0.0000 2.6498 0.0000
0.0000 0.0000 2.6498
2.6498 0.0000 0.0000
0.0000 0.0000 0.0000
2.6498 2.6498 2.6498
```

Computed properties:
ΔE_f (raw) ... 1.276 eV per atom
Magnetic moment ... 1.8 μB/cell
Relative energy among the computed polymorphs ... 809.3 meV per atom
SG ... Pm-3m



Entry 2:
Entry from Alexandria via LeMat-Bulk: a relaxed SbRu2Au crystal (PBE).

Cell and atoms, written as POSCAR:
```
SbRu2Au
1.0
5.3648 0.0067 0.0087
2.2877 4.8526 -0.0087
-3.2004 -3.4153 2.6220
Au Ru Sb
1 2 1
Cartesian
1.4568 1.9335 1.3067
7.4855 4.7532 0.0000
3.9933 2.5357 0.0000
2.9953 -0.4895 1.3153
```

Computed properties:
ΔE_f (raw) ... 0.379 eV per atom
Magnetic moment ... 0.0 μB/cell
SG ... Immm



Entry 3:
Entry from Alexandria via LeMat-Bulk: a relaxed SbRu2Au crystal (PBE).

Cell and atoms, written as POSCAR:
```
SbRu2Au
1.0
4.0772 0.0000 0.0000
0.0000 3.0626 0.0035
0.0000 1.6827 5.4606
Au Ru Sb
1 2 1
Cartesian
2.0386 3.5590 4.0981
0.0000 0.3447 0.0280
0.0000 2.0279 2.7040
2.0386 1.1863 1.3660
```

Computed properties:
ΔE_f (raw) ... 0.312 eV per atom
Magnetic moment ... 0.0 μB/cell
SG ... P2/m



Entry 4:
Entry from Alexandria via LeMat-Bulk: a relaxed Sb3RuAu crystal (PBE).

Cell and atoms, written as POSCAR:
```
Sb3RuAu
1.0
5.0985 0.0000 0.0000
0.0000 5.0985 0.0000
0.0000 0.0000 5.0985
Sb Au Ru
3 1 1
Cartesian
0.0000 2.5492 0.0000
0.0000 0.0000 2.5492
2.5492 0.0000 0.0000
2.5492 2.5492 2.5492
0.0000 0.0000 0.0000
```

Computed properties:
ΔE_f (raw) ... 0.466 eV per atom
Magnetic moment ... 0.0 μB/cell
Relative energy among the computed polymorphs ... 0.0 meV per atom
SG ... Pm-3m



Question: Which of these has the highest ΔE_f (raw)?
Answer: number 1